! Ag2TeRu (PBE, optimized geometry); values from VASP
&SYSTEM
  ibrav = 0, nat = 4, ntyp = 3
/
ATOMIC_SPECIES
Ag 107.87 Ag.upf
Te 127.60 Te.upf
Ru 101.07 Ru.upf
CELL_PARAMETERS angstrom
5.3514 -0.0011 0.0000
-2.5990 4.6779 0.0000
0.0000 0.0000 3.0419
ATOMIC_POSITIONS angstrom
Ag 1.3762 2.3384 0.0000
Ag 0.0000 0.0000 0.0000
Te -1.2995 2.3389 1.5210
Ru 2.6757 -0.0006 1.5210
! DOS at the Fermi energy = 3.07 states/eV per cell
! E = -16.1 eV for the cell shown
! uncorrected formation energy = 49 kJ per mole of atoms